No. 1
DFT (GGA-PBE) results for an optimized crystal structure of Tm2TlTe.

Properties
The formation energy without anion corrections comes out at -0.6640 eV per atom. As for the total energy: -4.28 eV/atom. For the calculated density, the calculation gives 9628 kg/m3.

Cell lengths 3.9857, 3.9857, 25.1933 Å; angles 90.00, 90.00, 120.00 degrees
Space group R3m (No. 160, hexagonal axes)
One atom of each set of equivalent atoms:
1 Tm 0.0000 0.0000 0.0000 [3 per cell]
2 Tm 0.0000 0.0000 0.1765 [3 per cell]
3 Tl 0.0000 0.0000 0.7554 [3 per cell]
4 Te 0.0000 0.0000 0.5874 [3 per cell]

---

No. 2
DFT (GGA-PBE) results for an optimized crystal structure of Tm4TlTe.

Properties
The formation energy without anion corrections comes out at -0.4599 eV per atom. As for the total energy: -4.36 eV/atom. For the calculated density, the calculation gives 9658 kg/m3.

Cell lengths 7.292, 4.607, 20.632 Å; angles 90.00, 90.00, 90.00 degrees
Space group Pnma (No. 62)
One atom of each set of equivalent atoms:
1 Tm 0.051 0.250 0.076 [4 per cell]
2 Tm 0.067 0.250 0.359 [4 per cell]
3 Tm 0.090 0.250 0.783 [4 per cell]
4 Tm 0.139 0.250 0.528 [4 per cell]
5 Tl 0.216 0.250 0.927 [4 per cell]
6 Te 0.201 0.250 0.215 [4 per cell]

---

No. 3
DFT (GGA-PBE) results for an optimized crystal structure of Tm3TlTe3.

Properties
The formation energy without anion corrections comes out at -0.7915 eV per atom. As for the total energy: -4.39 eV/atom. For the calculated density, the calculation gives 8437 kg/m3.

Cell lengths 9.3573, 9.3573, 5.6789 Å; angles 90.00, 90.00, 120.00 degrees
Space group P6_3/m (No. 176)
One atom of each set of equivalent atoms:
1 Tm 0.0445 0.7900 0.2500 [6 per cell]
2 Tl 0.3333 0.6667 0.2500 [2 per cell]
3 Te 0.0702 0.6712 0.7500 [6 per cell]

---

No. 4
DFT (GGA-PBE) results for an optimized crystal structure of TmTl2Te3.

Properties
The formation energy without anion corrections comes out at -0.7107 eV per atom. As for the total energy: -3.82 eV/atom. For the calculated density, the calculation gives 7686 kg/m3.

Cell lengths 7.782, 13.589, 8.232 Å; angles 90.00, 107.53, 90.00 degrees
Space group C2/m (No. 12)
One atom of each set of equivalent atoms:
1 Tm 0.000 0.171 0.000 [4 per cell]
2 Tl 0.000 0.000 0.500 [2 per cell]
3 Tl 0.000 0.338 0.500 [4 per cell]
4 Tl 0.000 0.500 0.000 [2 per cell]
5 Te 0.220 0.000 0.213 [4 per cell]
6 Te 0.250 0.175 0.777 [8 per cell]